Entry 1:
# Sc2AsPb

An optimized crystal structure of Sc2AsPb (GGA-PBE, the Alexandria database).

Results
- electronic total energy (eV per atom) = -5.871
- energy relative to the elements (eV per atom) = -0.62
- symmetry = Immm (71)
- total moment (μB per cell) = 0.0
- calculated density (g cm⁻³) = 6.80

abc: 5.361 5.361 5.361
angles: 137.05 116.83 79.43
Positions (direct):
Sc 0.225 0.225 0.000
Sc 0.775 0.775 0.000
As 0.000 0.500 0.500
Pb 0.500 0.000 0.500


Entry 2:
# PrHoMgRu

An optimized crystal structure of PrHoMgRu (GGA-PBE, the Alexandria database).

Results
- electronic total energy (eV per atom) = -5.167
- energy relative to the elements (eV per atom) = -0.11
- symmetry = F-43m (216)
- total moment (μB per cell) = 0.0
- calculated density (g cm⁻³) = 7.58

abc: 5.112 5.112 5.112
angles: 60.00 60.00 60.00
Positions (direct):
Pr 0.000 0.000 0.000
Ho 0.500 0.500 0.500
Mg 0.250 0.250 0.250
Ru 0.750 0.750 0.750


Entry 3:
# MgSbBr3

An optimized crystal structure of MgSbBr3 (GGA-PBE, the Alexandria database).

Results
- electronic total energy (eV per atom) = -2.622
- symmetry = Pm-3m (221)
- total moment (μB per cell) = 0.0
- calculated density (g cm⁻³) = 4.52
- ΔE_f (raw) (eV/f.u.) = -2.38

abc: 5.214 5.214 5.214
angles: 90.00 90.00 90.00
Positions (direct):
Mg 0.000 0.000 0.000
Sb 0.500 0.500 0.500
Br 0.000 0.000 0.500
Br 0.000 0.500 0.000
Br 0.500 0.000 0.000


Entry 4:
# NbTlCo3

An optimized crystal structure of NbTlCo3 (GGA-PBE, the Alexandria database).

Results
- electronic total energy (eV per atom) = -5.465
- energy relative to the elements (eV per atom) = 1.29
- symmetry = Pm-3m (221)
- total moment (μB per cell) = 0.8
- calculated density (g cm⁻³) = 8.48

abc: 4.529 4.529 4.529
angles: 90.00 90.00 90.00
Positions (direct):
Nb 0.000 0.000 0.000
Tl 0.500 0.500 0.500
Co 0.000 0.000 0.500
Co 0.000 0.500 0.000
Co 0.500 0.000 0.000


Entry 5:
# PmMnC2

An optimized crystal structure of PmMnC2 (GGA-PBE, the Alexandria database).

Results
- electronic total energy (eV per atom) = -8.279
- energy relative to the elements (eV per atom) = -0.19
- symmetry = Amm2 (38)
- total moment (μB per cell) = 2.0
- calculated density (g cm⁻³) = 6.88

abc: 3.801 3.840 3.840
angles: 74.50 90.00 90.00
Positions (direct):
Pm 0.000 0.000 0.000
Mn 0.500 0.599 0.599
C 0.500 0.134 0.439
C 0.500 0.439 0.134


Entry 6:
# Ca2Mg2Cu

An optimized crystal structure of Ca2Mg2Cu (GGA-PBE, the Alexandria database).

Results
- electronic total energy (eV per atom) = -2.232
- energy relative to the elements (eV per atom) = 0.03
- symmetry = C2/m (12)
- total moment (μB per cell) = 0.0
- calculated density (g cm⁻³) = 2.36

abc: 6.632 6.632 6.835
angles: 113.17 113.17 29.49
Positions (direct):
Ca 0.119 0.119 0.279
Ca 0.881 0.881 0.721
Mg 0.158 0.158 0.800
Mg 0.842 0.842 0.200
Cu 0.500 0.500 0.500


Copy entry 2 word for word.
# PrHoMgRu

An optimized crystal structure of PrHoMgRu (GGA-PBE, the Alexandria database).

Results
- electronic total energy (eV per atom) = -5.167
- energy relative to the elements (eV per atom) = -0.11
- symmetry = F-43m (216)
- total moment (μB per cell) = 0.0
- calculated density (g cm⁻³) = 7.58

abc: 5.112 5.112 5.112
angles: 60.00 60.00 60.00
Positions (direct):
Pr 0.000 0.000 0.000
Ho 0.500 0.500 0.500
Mg 0.250 0.250 0.250
Ru 0.750 0.750 0.750


calculated density of number 6 (Ca2Mg2Cu)?
2.36 g cm⁻³


What is the electronic total energy in the second record?
-5.167 eV per atom


Please write out number 5 again, unchanged.
# PmMnC2

An optimized crystal structure of PmMnC2 (GGA-PBE, the Alexandria database).

Results
- electronic total energy (eV per atom) = -8.279
- energy relative to the elements (eV per atom) = -0.19
- symmetry = Amm2 (38)
- total moment (μB per cell) = 2.0
- calculated density (g cm⁻³) = 6.88

abc: 3.801 3.840 3.840
angles: 74.50 90.00 90.00
Positions (direct):
Pm 0.000 0.000 0.000
Mn 0.500 0.599 0.599
C 0.500 0.134 0.439
C 0.500 0.439 0.134